## K2InI4 (PBE)

Data for crystalline K2InI4 at its relaxed geometry.

Output
Uncorrected formation energy (eV/atom): -0.9889
Energy relative to the lowest polymorph listed for this composition (eV/f.u.): 0.000
Space group: I4/mmm
Crystal system: tetragonal
ρ (Mg/m³): 3.50

abc: 10.057 10.057 10.057
angles: 145.03 145.03 50.29
Sites, in units of the cell vectors:
K 0.138 0.138 0.000
K 0.862 0.862 0.000
In 0.500 0.500 0.000
I 0.000 0.500 0.500
I 0.328 0.328 0.000
I 0.500 0.000 0.500
I 0.672 0.672 0.000